A | TeW2, optimized geometry, DFT GGA-PBE; theoretical density = 13.52 g/cm3; SG = Fm-3m, No. 225; density of states at the Fermi level = 1.54 states/eV/atom
1.0
4.415 0.000 0.000
2.207 3.824 0.000
2.207 1.275 3.605
Te W
1 2
Direct
0.000 0.000 0.000 Te
0.250 0.250 0.250 W
0.750 0.750 0.750 W

***

B | TeW2, optimized geometry, DFT GGA-PBE; theoretical density = 11.91 g/cm3; SG = Cmcm, No. 63; density of states at the Fermi level = 0.54 states/eV/atom
1.0
1.650 -9.136 0.000
1.650 9.136 0.000
0.000 0.000 4.579
W Te
4 2
Direct
0.266 0.734 0.750 W
0.656 0.344 0.750 W
0.734 0.266 0.250 W
0.344 0.656 0.250 W
0.093 0.907 0.250 Te
0.907 0.093 0.750 Te

***

Which is the most stable structure? B is the most stable.

***

A | TeW5, optimized geometry, DFT GGA-PBE; theoretical density = 15.32 g/cm3; SG = P6/mmm, No. 191; density of states at the Fermi level = 0.59 states/eV/atom
1.0
-1.852 -0.949 -4.877
-2.009 -2.613 4.154
-3.192 3.346 0.561
Te W
1 5
Direct
0.000 0.000 0.000 Te
0.500 0.500 0.500 W
0.333 0.667 0.000 W
0.500 0.000 0.500 W
0.667 0.333 0.000 W
0.000 0.500 0.500 W

***

B | TeW5, optimized geometry, DFT GGA-PBE; theoretical density = 17.17 g/cm3; SG = Cmmm, No. 65; density of states at the Fermi level = 0.84 states/eV/atom
1.0
1.623 -6.929 0.000
1.623 6.929 0.000
0.000 0.000 4.501
W Te
5 1
Direct
0.000 0.000 0.500 W
0.172 0.828 0.000 W
0.828 0.172 0.000 W
0.330 0.670 0.500 W
0.670 0.330 0.500 W
0.500 0.500 0.000 Te

***

Which is the most stable structure? B is the most stable.

***

A | Te4W3, optimized geometry, DFT GGA-PBE; theoretical density = 10.78 g/cm3; SG = I4/mmm, No. 139; density of states at the Fermi level = 0.89 states/eV/atom
1.0
15.382 -0.007 3.015
14.618 4.505 3.421
-15.439 -2.525 -0.981
W Te
3 4
Direct
0.000 0.000 0.000 W
0.279 0.279 0.000 W
0.721 0.721 0.000 W
0.445 0.445 0.000 Te
0.555 0.555 0.000 Te
0.169 0.169 0.000 Te
0.831 0.831 0.000 Te

***

B | Te4W3, optimized geometry, DFT GGA-PBE; theoretical density = 11.33 g/cm3; SG = P6/mmm, No. 191; density of states at the Fermi level = 0.91 states/eV/atom
1.0
-3.893 -1.217 3.548
0.607 -2.974 -4.473
3.886 -3.709 2.993
Te W
4 3
Direct
0.000 0.000 0.240 Te
0.333 0.667 0.500 Te
0.000 0.000 0.760 Te
0.667 0.333 0.500 Te
0.500 0.500 0.000 W
0.500 0.000 0.000 W
0.000 0.500 0.000 W

***

Which is the most stable structure? A is the most stable.

***

A | Te5W3, optimized geometry, DFT GGA-PBE; theoretical density = 11.60 g/cm3; SG = Cmmm, No. 65; density of states at the Fermi level = 0.96 states/eV/atom
1.0
-1.479 4.344 -4.154
-4.393 -4.360 0.035
-2.336 2.380 3.320
W Te
3 5
Direct
0.278 0.722 0.500 W
0.500 0.500 0.000 W
0.722 0.278 0.500 W
0.500 0.000 0.000 Te
0.276 0.276 0.500 Te
0.000 0.500 0.000 Te
0.724 0.724 0.500 Te
0.000 0.000 0.000 Te

***

B | Te5W3, optimized geometry, DFT GGA-PBE; theoretical density = 10.11 g/cm3; SG = Cm, No. 8; density of states at the Fermi level = 0.71 states/eV/atom
1.0
6.939 -0.498 0.000
-4.974 6.778 0.000
-0.983 -3.140 8.769
W Te
6 10
Direct
0.945 0.906 0.500 W
0.155 0.217 0.086 W
0.381 0.077 0.500 W
0.888 0.359 0.223 W
0.569 0.631 0.914 W
0.165 0.636 0.777 W
0.664 0.033 0.927 Te
0.810 0.503 0.500 Te
0.127 0.299 0.693 Te
0.934 0.106 0.307 Te
0.700 0.571 0.180 Te
0.236 0.606 0.073 Te
0.353 0.053 0.203 Te
0.020 0.891 0.820 Te
0.650 0.349 0.797 Te
0.396 0.764 0.500 Te

***

Which is the most stable structure? B is the most stable.

***

A | YTe2W, optimized geometry, DFT GGA-PBE; theoretical density = 9.06 g/cm3; SG = C2/m, No. 12; density of states at the Fermi level = 0.73 states/eV/atom
1.0
-1.228 3.908 -1.998
-2.323 0.830 -3.832
-5.988 0.869 2.115
Y W Te
1 1 2
Direct
0.250 0.250 0.250 Y
0.750 0.750 0.750 W
0.011 0.011 0.960 Te
0.489 0.489 0.540 Te

***

B | YTe2W, optimized geometry, DFT GGA-PBE; theoretical density = 8.91 g/cm3; SG = P2/m, No. 10; density of states at the Fermi level = 0.63 states/eV/atom
1.0
-2.708 -3.430 -0.461
2.910 -2.217 -0.596
0.950 -1.531 5.811
Te Y W
2 1 1
Direct
0.000 0.107 0.015 Te
0.000 0.393 0.485 Te
0.500 0.750 0.750 Y
0.500 0.250 0.250 W

***

Which is the most stable structure? A is the most stable.

***

A | YTe2W, optimized geometry, DFT GGA-PBE; theoretical density = 9.27 g/cm3; SG = Cm, No. 8; density of states at the Fermi level = 0.60 states/eV/atom
1.0
5.394 -0.002 0.016
4.220 3.359 0.016
1.505 0.526 5.221
W Te Y
1 2 1
Direct
0.495 0.495 0.602 W
0.992 0.992 0.011 Te
0.775 0.775 0.677 Te
0.238 0.238 0.209 Y

***

B | YTe2W, optimized geometry, DFT GGA-PBE; theoretical density = 6.97 g/cm3; SG = I-42d, No. 122; density of states at the Fermi level = 1.53 states/eV/atom
1.0
-5.235 1.554 1.417
1.285 -0.648 5.455
0.357 7.993 3.783
Te W Y
4 2 2
Direct
0.375 0.314 0.750 Te
0.064 0.625 0.250 Te
0.686 0.125 0.250 Te
0.875 0.936 0.750 Te
0.000 0.000 0.000 W
0.750 0.250 0.500 W
0.500 0.500 0.000 Y
0.250 0.750 0.500 Y

***

C | YTe2W, optimized geometry, DFT GGA-PBE; theoretical density = 9.81 g/cm3; SG = Fm-3m, No. 225; density of states at the Fermi level = 1.76 states/eV/atom
1.0
-2.939 -4.003 -0.715
-4.941 0.339 0.804
-3.186 -0.113 -3.875
W Y Te
1 1 2
Direct
0.500 0.500 0.500 W
0.000 0.000 0.000 Y
0.750 0.750 0.750 Te
0.250 0.250 0.250 Te

***

D | YTe2W, optimized geometry, DFT GGA-PBE; theoretical density = 8.67 g/cm3; SG = P4mm, No. 99; density of states at the Fermi level = 0.72 states/eV/atom
1.0
-0.107 0.412 3.712
1.415 -3.432 0.421
6.697 2.747 -0.111
Te Y W
2 1 1
Direct
0.000 0.000 0.933 Te
0.500 0.500 0.324 Te
0.500 0.500 0.747 Y
0.000 0.000 0.496 W

***

Which is the most stable structure? D is the most stable.